Record 1
DFT (GGA-PBE) results for a relaxed structure of BaGeTe3.

## Properties
Space-group type: Pm-3m (221)

abc: 6.526 6.526 6.526
angles: 90.00 90.00 90.00
Sites, in units of the cell vectors:
Ge  0.500  0.500  0.500
Te  0.000  0.500  0.000
Te  0.000  0.000  0.500
Te  0.500  0.000  0.000
Ba  0.000  0.000  0.000

Record 2
DFT (GGA-PBE) results for a relaxed structure of Ba2GeTe5.

## Properties
Space-group type: Cm (8)

abc: 8.310 8.306 7.547
angles: 125.41 125.44 87.20
Sites, in units of the cell vectors:
Ba  0.259  0.753  0.546
Ba  0.753  0.259  0.546
Ge  0.002  0.002  0.916
Te  0.810  0.239  0.073
Te  0.269  0.269  0.020
Te  0.774  0.774  0.078
Te  0.240  0.810  0.074
Te  0.671  0.670  0.300

In the order shown, the computed formation energy without anion corrections values come out to 0.60, -0.87 eV per atom.
In the order shown, the computed calculated density values come out to 3.54, 5.25 Mg/m³.